First-principles (GGA+U) data for Li2MnCoO4 after structural relaxation, as listed in Alexandria.

Summary:
DFT total energy (eV/atom): -6.14
Density (g/cm3): 4.43
Total magnetic moment (μB per atom): 0.4997

abc: 9.7394 2.8585 10.3936
angles: 90.00 96.67 90.00
Last column: nearest neighbours and their distance in Å.
Space group C2/m (No. 12)
Inequivalent atoms, fractional coordinates:
Li 0.0000 0.0000 0.0000 x2  4 O 2.07
Li 0.0000 0.0000 0.5000 x2  6 O 2.02-2.16
Li 0.0118 0.5000 0.2710 x4  5 O 2.09-2.15
Mn 0.2365 0.0000 0.8632 x4  5 O 1.96-2.17
Co 0.2401 0.5000 0.6164 x4  6 O 1.92-2.01
O 0.1238 0.0000 0.6702 x4  2 Co 1.95, 3 Li 2.02-2.09, 1 Mn 2.17
O 0.1281 0.5000 0.9322 x4  2 Mn 1.96, 2 Li 2.07
O 0.1480 0.5000 0.4427 x4  3 Co 1.92-1.94, 1 Li 2.10
O 0.1537 0.0000 0.2064 x4  2 Mn 1.97, 1 Co 2.01, 2 Li 2.15